one | VASP calculation (GGA-PBE) on crystalline LaTiP2 at its relaxed geometry.

Properties
V in A^3/atom: 20.59

Structure (POSCAR):
```
LaTiP2
1.0
1.9257 1.1118 6.4128
-1.9257 1.1118 6.4128
0.0000 -2.2236 6.4128
La Ti P
1 1 2
direct
0.0000 0.0000 0.0000
0.5000 0.5000 0.5000
0.2346 0.2346 0.2346
0.7654 0.7654 0.7654
```

two | VASP calculation (GGA-PBE) on crystalline LaTiP2 at its relaxed geometry.

Properties
V in A^3/atom: 19.53

Structure (POSCAR):
```
LaTiP2
1.0
0.0000 3.3928 3.3928
3.3928 0.0000 3.3928
3.3928 3.3928 0.0000
La Ti P
1 1 2
direct
0.0000 0.0000 0.0000
0.5000 0.5000 0.5000
0.2500 0.2500 0.2500
0.7500 0.7500 0.7500
```

three | VASP calculation (GGA-PBE) on crystalline LaTiP2 at its relaxed geometry.

Properties
V in A^3/atom: 27.60

Structure (POSCAR):
```
LaTiP2
1.0
-3.0547 3.0547 5.9160
3.0547 -3.0547 5.9160
3.0547 3.0547 -5.9160
La Ti P
2 2 4
direct
0.0000 0.0000 0.0000
0.7500 0.2500 0.5000
0.2500 0.7500 0.5000
0.5000 0.5000 0.0000
0.1914 0.6250 0.0664
0.3750 0.4414 0.5664
0.5586 0.1250 0.9336
0.8750 0.8086 0.4336
```

Most stable pick: one. Distance to second place: 482 meV/atom.

one | VASP calculation (GGA-PBE) on crystalline LaTi2P2 at its relaxed geometry.

Properties
V in A^3/atom: 19.73

Structure (POSCAR):
```
LaTi2P2
1.0
-2.3527 2.3527 4.4562
2.3527 -2.3527 4.4562
2.3527 2.3527 -4.4562
La Ti P
1 2 2
direct
0.0000 0.0000 0.0000
0.3436 0.3436 0.0000
0.6564 0.6564 0.0000
0.2500 0.7500 0.5000
0.7500 0.2500 0.5000
```

two | VASP calculation (GGA-PBE) on crystalline LaTi2P2 at its relaxed geometry.

Properties
V in A^3/atom: 18.10

Structure (POSCAR):
```
LaTi2P2
1.0
7.4269 0.0000 0.0000
0.0000 7.4269 0.0000
0.0000 0.0000 3.2822
La Ti P
2 4 4
direct
0.0000 0.0000 0.0000
0.5000 0.5000 0.0000
0.1396 0.3604 0.5000
0.3604 0.8604 0.5000
0.6396 0.1396 0.5000
0.8604 0.6396 0.5000
0.1330 0.6330 0.0000
0.3670 0.1330 0.0000
0.6330 0.8670 0.0000
0.8670 0.3670 0.0000
```

Most stable pick: one. Distance to second place: 40 meV/atom.

one | VASP calculation (GGA-PBE) on crystalline LaTiP3 at its relaxed geometry.

Properties
V in A^3/atom: 21.08

Structure (POSCAR):
```
LaTiP3
1.0
4.7238 0.0000 0.0000
0.0000 4.7238 0.0000
0.0000 0.0000 4.7238
La Ti P
1 1 3
direct
0.0000 0.0000 0.0000
0.5000 0.5000 0.5000
0.0000 0.5000 0.5000
0.5000 0.0000 0.5000
0.5000 0.5000 0.0000
```

two | VASP calculation (GGA-PBE) on crystalline LaTiP3 at its relaxed geometry.

Properties
V in A^3/atom: 28.41

Structure (POSCAR):
```
LaTiP3
1.0
5.2174 0.0000 0.0000
0.0000 5.2174 0.0000
0.0000 0.0000 5.2174
La Ti P
1 1 3
direct
0.0000 0.0000 0.0000
0.5000 0.5000 0.5000
0.0000 0.0000 0.5000
0.0000 0.5000 0.0000
0.5000 0.0000 0.0000
```

Most stable pick: one. Distance to second place: 1787 meV/atom.

one | VASP calculation (GGA-PBE) on crystalline La2TlP2 at its relaxed geometry.

Properties
V in A^3/atom: 28.35

Structure (POSCAR):
```
La2TlP2
1.0
-2.6892 2.6892 4.8997
2.6892 -2.6892 4.8997
2.6892 2.6892 -4.8997
La Tl P
2 1 2
direct
0.2500 0.7500 0.5000
0.7500 0.2500 0.5000
0.0000 0.0000 0.0000
0.3848 0.3848 0.0000
0.6152 0.6152 0.0000
```

two | VASP calculation (GGA-PBE) on crystalline La2TlP2 at its relaxed geometry.

Properties
V in A^3/atom: 25.69

Structure (POSCAR):
```
La2TlP2
1.0
8.1142 0.0000 0.0000
0.0000 8.1142 0.0000
0.0000 0.0000 3.9012
La Tl P
4 2 4
direct
0.1535 0.3465 0.0000
0.3465 0.8465 0.0000
0.6535 0.1535 0.0000
0.8465 0.6535 0.0000
0.0000 0.0000 0.5000
0.5000 0.5000 0.5000
0.1506 0.6506 0.5000
0.3494 0.1506 0.5000
0.6506 0.8494 0.5000
0.8494 0.3494 0.5000
```

Most stable pick: two. Distance to second place: 397 meV/atom.

one | VASP calculation (GGA-PBE) on crystalline LaTlP at its relaxed geometry.

Properties
V in A^3/atom: 29.44

Structure (POSCAR):
```
LaTlP
1.0
0.0000 3.5346 3.5346
3.5346 0.0000 3.5346
3.5346 3.5346 0.0000
La Tl P
1 1 1
direct
0.0000 0.0000 0.0000
0.5000 0.5000 0.5000
0.2500 0.2500 0.2500
```

two | VASP calculation (GGA-PBE) on crystalline LaTlP at its relaxed geometry.

Properties
V in A^3/atom: 26.42

Structure (POSCAR):
```
LaTlP
1.0
5.2713 0.0000 0.0000
-2.6357 4.5651 0.0000
0.0000 0.0000 6.5865
La Tl P
2 2 2
direct
0.3333 0.6667 0.2500
0.6667 0.3333 0.7500
0.3333 0.6667 0.7500
0.6667 0.3333 0.2500
0.0000 0.0000 0.0000
0.0000 0.0000 0.5000
```

three | VASP calculation (GGA-PBE) on crystalline LaTlP at its relaxed geometry.

Properties
V in A^3/atom: 30.86

Structure (POSCAR):
```
LaTlP
1.0
2.5391 1.4660 8.2906
-2.5391 1.4660 8.2906
0.0000 -2.9319 8.2906
La Tl P
2 2 2
direct
0.1037 0.1037 0.1037
0.8963 0.8963 0.8963
0.3288 0.3288 0.3288
0.6712 0.6712 0.6712
0.2171 0.2171 0.2171
0.7829 0.7829 0.7829
```

Most stable pick: three. Distance to second place: 241 meV/atom.

one | VASP calculation (GGA-PBE) on crystalline LaTlP3 at its relaxed geometry.

Properties
V in A^3/atom: 25.48

Structure (POSCAR):
```
LaTlP3
1.0
4.0602 0.0000 0.0000
-2.0301 3.5162 0.0000
0.0000 0.0000 17.8477
La Tl P
2 2 6
direct
0.0000 0.0000 0.0000
0.0000 0.0000 0.5000
0.3333 0.6667 0.3102
0.6667 0.3333 0.8102
0.0000 0.0000 0.1680
0.0000 0.0000 0.6680
0.3333 0.6667 0.6269
0.3333 0.6667 0.9099
0.6667 0.3333 0.1269
0.6667 0.3333 0.4099
```

two | VASP calculation (GGA-PBE) on crystalline LaTlP3 at its relaxed geometry.

Properties
V in A^3/atom: 33.66

Structure (POSCAR):
```
LaTlP3
1.0
5.5212 0.0000 0.0000
0.0000 5.5212 0.0000
0.0000 0.0000 5.5212
La Tl P
1 1 3
direct
0.0000 0.0000 0.0000
0.5000 0.5000 0.5000
0.0000 0.0000 0.5000
0.0000 0.5000 0.0000
0.5000 0.0000 0.0000
```

three | VASP calculation (GGA-PBE) on crystalline LaTlP3 at its relaxed geometry.

Properties
V in A^3/atom: 25.98

Structure (POSCAR):
```
LaTlP3
1.0
5.0642 0.0000 0.0000
0.0000 5.0642 0.0000
0.0000 0.0000 5.0642
La Tl P
1 1 3
direct
0.0000 0.0000 0.0000
0.5000 0.5000 0.5000
0.0000 0.5000 0.5000
0.5000 0.0000 0.5000
0.5000 0.5000 0.0000
```

Most stable pick: one. Distance to second place: 760 meV/atom.

one | VASP calculation (GGA-PBE) on crystalline LaUP2 at its relaxed geometry.

Properties
V in A^3/atom: 24.35

Structure (POSCAR):
```
LaUP2
1.0
2.0291 1.1715 6.8284
-2.0291 1.1715 6.8284
0.0000 -2.3430 6.8284
La U P
1 1 2
direct
0.0000 0.0000 0.0000
0.5000 0.5000 0.5000
0.2422 0.2422 0.2422
0.7578 0.7578 0.7578
```

two | VASP calculation (GGA-PBE) on crystalline LaUP2 at its relaxed geometry.

Properties
V in A^3/atom: 25.56

Structure (POSCAR):
```
LaUP2
1.0
3.9005 0.0000 0.0000
0.0000 5.2273 0.0000
0.0000 0.0000 10.0301
La U P
2 2 4
direct
0.2500 0.2500 0.1272
0.7500 0.7500 0.8728
0.2500 0.7500 0.3850
0.7500 0.2500 0.6150
0.2500 0.2500 0.4206
0.2500 0.2500 0.8300
0.7500 0.7500 0.1700
0.7500 0.7500 0.5794
```

three | VASP calculation (GGA-PBE) on crystalline LaUP2 at its relaxed geometry.

Properties
V in A^3/atom: 24.69

Structure (POSCAR):
```
LaUP2
1.0
1.9797 1.1430 7.2747
-1.9797 1.1430 7.2747
0.0000 -2.2860 7.2747
La U P
1 1 2
direct
0.0000 0.0000 0.0000
0.1720 0.1720 0.1720
0.4255 0.4255 0.4255
0.5820 0.5820 0.5820
```

Most stable pick: one. Distance to second place: 195 meV/atom.

one | VASP calculation (GGA-PBE) on crystalline LaVP2 at its relaxed geometry.

Properties
V in A^3/atom: 18.98

Structure (POSCAR):
```
LaVP2
1.0
0.0000 3.3608 3.3608
3.3608 0.0000 3.3608
3.3608 3.3608 0.0000
La V P
1 1 2
direct
0.0000 0.0000 0.0000
0.5000 0.5000 0.5000
0.2500 0.2500 0.2500
0.7500 0.7500 0.7500
```

two | VASP calculation (GGA-PBE) on crystalline LaVP2 at its relaxed geometry.

Properties
V in A^3/atom: 22.37

Structure (POSCAR):
```
LaVP2
1.0
-2.4561 2.4561 7.4164
2.4561 -2.4561 7.4164
2.4561 2.4561 -7.4164
La V P
2 2 4
direct
0.0000 0.0000 0.0000
0.7500 0.2500 0.5000
0.2500 0.7500 0.5000
0.5000 0.5000 0.0000
0.3738 0.6250 0.2488
0.3750 0.6238 0.7488
0.3762 0.1250 0.7512
0.8750 0.6262 0.2512
```

Most stable pick: two. Distance to second place: 109 meV/atom.